Entry 1:
## Sr3Cu3Pd (PBE)

Data for a relaxed structure of Sr3Cu3Pd.

Cell lengths 4.4146, 6.0706, 14.9099 Å; angles 89.13, 81.49, 68.68 degrees
Last column: nearest neighbours and their distance in Å.
Atoms (fractional coordinates):
Sr: 0.5853 0.2342 0.5953  7 Cu 3.24-3.55, 4 Pd 3.26-3.34
Sr: 0.4147 0.7658 0.4047  7 Cu 3.24-3.55, 4 Pd 3.26-3.34
Sr: 0.2291 0.3111 0.2307  6 Cu 3.11-3.38, 2 Pd 3.15
Sr: 0.7709 0.6889 0.7693  6 Cu 3.11-3.38, 2 Pd 3.15
Sr: 0.4018 0.2733 0.9230  7 Cu 3.12-3.44
Sr: 0.5982 0.7267 0.0770  7 Cu 3.12-3.44
Cu: 0.8921 0.6576 0.5582  1 Cu 2.42, 2 Pd 2.59
Cu: 0.1079 0.3424 0.4418  1 Cu 2.42, 2 Pd 2.59
Cu: 0.0967 0.8825 0.9240  2 Cu 2.55-2.56
Cu: 0.9033 0.1175 0.0760  2 Cu 2.55-2.56
Cu: 0.9323 0.9091 0.2263  1 Cu 2.55, 1 Pd 2.59
Cu: 0.0677 0.0909 0.7737  1 Cu 2.55, 1 Pd 2.59
Pd: 0.7248 0.1779 0.3726  3 Cu 2.59
Pd: 0.2752 0.8221 0.6274  3 Cu 2.59

The volume comes out at 26.27 Å³ per atom. The value obtained for the density of states at the Fermi level is 0.531 states/eV/atom. The calculation puts the energy of formation at -216 meV per atom. Its space group is C2/m. As for the total energy: -3.434 eV per atom.


Entry 2:
## Cs6H3Au2Br (PBE)

Data for a relaxed structure of Cs6H3Au2Br.

Cell lengths 4.8305, 9.8543, 10.9721 Å; angles 104.25, 102.72, 90.00 degrees
Last column: nearest neighbours and their distance in Å.
Atoms (fractional coordinates):
Cs: 0.3265 0.9345 0.6529  3 H 3.29-3.35, 1 Br 3.61, 2 Au 3.63
Cs: 0.6578 0.6042 0.3157  3 H 3.27-3.29, 3 Au 3.61-3.62
Cs: 0.6735 0.0655 0.3471  3 H 3.29-3.35, 1 Br 3.61, 2 Au 3.63
Cs: 0.9942 0.2681 0.9884  3 H 3.30-3.31, 2 Br 3.60, 1 Au 3.62
Cs: 0.0058 0.7319 0.0116  3 H 3.30-3.31, 2 Br 3.60, 1 Au 3.62
Cs: 0.3422 0.3958 0.6843  3 H 3.27-3.29, 3 Au 3.61-3.62
H: 0.5000 0.5000 0.0000  6 Cs 3.27-3.31
H: 0.8351 0.1651 0.6702  6 Cs 3.29-3.35
H: 0.1649 0.8349 0.3298  6 Cs 3.29-3.35
Au: 0.8313 0.6630 0.6626  6 Cs 3.61-3.63
Au: 0.1687 0.3370 0.3374  6 Cs 3.61-3.63
Br: 0.5000 0.0000 0.0000  6 Cs 3.60-3.61

The volume comes out at 41.08 Å³ per atom. The value obtained for the density of states at the Fermi level is 0.000 states/eV/atom. Its space group is C2/m. As for the total energy: -2.421 eV per atom.